Entry 1:
{"formula": "FeRe5", "functional": "SCAN", "state": "PBEsol geometry", "cell": [[4.9673, -1.3619, 0.0000], [4.9673, 1.3619, 0.0000], [-1.6120, 0.0000, 6.1778]], "species": ["Fe", "Re", "Re", "Re", "Re", "Re"], "frac_coords": [[0.0000, 0.0000, 0.0000], [0.0533, 0.0533, 0.6120], [0.3379, 0.3379, 0.6698], [0.3931, 0.3931, 0.2645], [0.6628, 0.6628, 0.3240], [0.7180, 0.7180, 0.9429]], "total_energy_ev_per_atom": -62.18, "e_above_lowest_polymorph_ev_per_atom": 0.013, "m_tot_mub_per_atom": 0.00, "sg": "Cm", "volume_a3_per_fu": 83.6}



Entry 2:
{"formula": "TlAg3", "functional": "SCAN", "state": "PBEsol geometry", "cell": [[2.9720, -5.1545, 0.0000], [2.9720, 5.1545, 0.0000], [0.0000, 0.0000, 4.7916]], "species": ["Tl", "Tl", "Ag", "Ag", "Ag", "Ag", "Ag", "Ag"], "frac_coords": [[0.1668, 0.8332, 0.7500], [0.8332, 0.1668, 0.2500], [0.1765, 0.3382, 0.7500], [0.3382, 0.1765, 0.2500], [0.3385, 0.6615, 0.2500], [0.6615, 0.3385, 0.7500], [0.6618, 0.8235, 0.7500], [0.8235, 0.6618, 0.2500]], "total_energy_ev_per_atom": -41.52, "m_tot_mub_per_atom": 0.00, "sg": "Cmcm", "volume_a3_per_fu": 73.4}